(1)
# NbSe2BrN | the Alexandria database | PBE | relaxed
# Total magnetic moment (μB per formula unit): 0.000
# Total energy (eV/atom): -4.4015
data_NbSe2BrN
_symmetry_space_group_name_H-M 'P 4/m m m'
_symmetry_Int_Tables_number 123
_symmetry_space_group_name_Hall '-P 4 2'
_cell_length_a 4.4822
_cell_length_b 4.4822
_cell_length_c 4.3050
_cell_angle_alpha 90.00
_cell_angle_beta 90.00
_cell_angle_gamma 90.00
loop_
_atom_site_label
_atom_site_type_symbol
_atom_site_fract_x
_atom_site_fract_y
_atom_site_fract_z
_atom_site_occupancy
Nb1 Nb 0.0000 0.0000 0.0000 1
Se1 Se 0.0000 0.5000 0.5000 1
Br1 Br 0.5000 0.5000 0.0000 1
N1 N 0.5000 0.5000 0.5000 1

(2)
# NbSe2BrN | the Alexandria database | PBE | relaxed
# Total magnetic moment (μB per formula unit): 0.000
# Total energy (eV/atom): -5.2056
data_NbSe2BrN
_symmetry_space_group_name_H-M 'P 4/m m m'
_symmetry_Int_Tables_number 123
_symmetry_space_group_name_Hall '-P 4 2'
_cell_length_a 5.2088
_cell_length_b 5.2088
_cell_length_c 3.9662
_cell_angle_alpha 90.00
_cell_angle_beta 90.00
_cell_angle_gamma 90.00
loop_
_atom_site_label
_atom_site_type_symbol
_atom_site_fract_x
_atom_site_fract_y
_atom_site_fract_z
_atom_site_occupancy
Nb1 Nb 0.0000 0.0000 0.0000 1
Se1 Se 0.0000 0.5000 0.0000 1
Br1 Br 0.5000 0.5000 0.5000 1
N1 N 0.0000 0.0000 0.5000 1

(3)
# NbSe2BrN | the Alexandria database | PBE | relaxed
# Total magnetic moment (μB per formula unit): 2.985
# Total energy (eV/atom): -4.7077
data_NbSe2BrN
_symmetry_space_group_name_H-M 'P 4/m m m'
_symmetry_Int_Tables_number 123
_symmetry_space_group_name_Hall '-P 4 2'
_cell_length_a 5.0116
_cell_length_b 5.0116
_cell_length_c 5.3486
_cell_angle_alpha 90.00
_cell_angle_beta 90.00
_cell_angle_gamma 90.00
loop_
_atom_site_label
_atom_site_type_symbol
_atom_site_fract_x
_atom_site_fract_y
_atom_site_fract_z
_atom_site_occupancy
Nb1 Nb 0.0000 0.0000 0.0000 1
Se1 Se 0.0000 0.5000 0.0000 1
Br1 Br 0.0000 0.0000 0.5000 1
N1 N 0.5000 0.5000 0.5000 1

(4)
# NbSe2BrN | the Alexandria database | PBE | relaxed
# Total magnetic moment (μB per formula unit): 2.181
# Total energy (eV/atom): -3.9098
data_NbSe2BrN
_symmetry_space_group_name_H-M 'P 4/m m m'
_symmetry_Int_Tables_number 123
_symmetry_space_group_name_Hall '-P 4 2'
_cell_length_a 5.2134
_cell_length_b 5.2134
_cell_length_c 3.6639
_cell_angle_alpha 90.00
_cell_angle_beta 90.00
_cell_angle_gamma 90.00
loop_
_atom_site_label
_atom_site_type_symbol
_atom_site_fract_x
_atom_site_fract_y
_atom_site_fract_z
_atom_site_occupancy
Nb1 Nb 0.0000 0.0000 0.0000 1
Se1 Se 0.0000 0.5000 0.5000 1
Br1 Br 0.5000 0.5000 0.5000 1
N1 N 0.5000 0.5000 0.0000 1

(5)
# NbTeBrN2 | the Alexandria database | PBE | relaxed
# Total magnetic moment (μB per formula unit): 0.773
# Total energy (eV/atom): -5.8953
data_NbTeBrN2
_symmetry_space_group_name_H-M 'P 4/m m m'
_symmetry_Int_Tables_number 123
_symmetry_space_group_name_Hall '-P 4 2'
_cell_length_a 4.0858
_cell_length_b 4.0858
_cell_length_c 6.0101
_cell_angle_alpha 90.00
_cell_angle_beta 90.00
_cell_angle_gamma 90.00
loop_
_atom_site_label
_atom_site_type_symbol
_atom_site_fract_x
_atom_site_fract_y
_atom_site_fract_z
_atom_site_occupancy
Nb1 Nb 0.0000 0.0000 0.0000 1
Te1 Te 0.0000 0.0000 0.5000 1
Br1 Br 0.5000 0.5000 0.5000 1
N1 N 0.0000 0.5000 0.0000 1

(6)
# NbTeBrN2 | the Alexandria database | PBE | relaxed
# Total magnetic moment (μB per formula unit): 0.000
# Total energy (eV/atom): -4.0749
data_NbTeBrN2
_symmetry_space_group_name_H-M 'P 4/m m m'
_symmetry_Int_Tables_number 123
_symmetry_space_group_name_Hall '-P 4 2'
_cell_length_a 4.0794
_cell_length_b 4.0794
_cell_length_c 5.3260
_cell_angle_alpha 90.00
_cell_angle_beta 90.00
_cell_angle_gamma 90.00
loop_
_atom_site_label
_atom_site_type_symbol
_atom_site_fract_x
_atom_site_fract_y
_atom_site_fract_z
_atom_site_occupancy
Nb1 Nb 0.0000 0.0000 0.0000 1
Te1 Te 0.5000 0.5000 0.0000 1
Br1 Br 0.5000 0.5000 0.5000 1
N1 N 0.0000 0.5000 0.5000 1